VNiP2Cl | PBE | optimized geometry

Cell: 4.303 4.303 4.849 Å, 90.00 90.00 90.00°
Fractional positions:
1 V 0.000 0.000 0.000
2 Ni 0.500 0.500 0.500
3 P 0.000 0.500 0.500
4 P 0.500 0.000 0.500
5 Cl 0.500 0.500 0.000

Uncorrected formation energy = 544 meV/atom
Relative energy among the computed polymorphs = 0.0 kJ per mole of atoms

=====

VNiPCl2 | PBE | optimized geometry

Cell: 4.729 4.729 5.168 Å, 90.00 90.00 90.00°
Fractional positions:
1 V 0.000 0.000 0.000
2 Ni 0.500 0.500 0.500
3 P 0.000 0.000 0.500
4 Cl 0.000 0.500 0.000
5 Cl 0.500 0.000 0.000

Uncorrected formation energy = 413 meV/atom
Relative energy among the computed polymorphs = 3.6 kJ per mole of atoms

=====

VNiPCl2 | PBE | optimized geometry

Cell: 4.459 4.459 4.714 Å, 90.00 90.00 90.00°
Fractional positions:
1 V 0.000 0.000 0.000
2 Ni 0.500 0.500 0.500
3 P 0.500 0.500 0.000
4 Cl 0.000 0.500 0.500
5 Cl 0.500 0.000 0.500

Uncorrected formation energy = 375 meV/atom
Relative energy among the computed polymorphs = 0.0 kJ per mole of atoms

=====

VNi2PCl | PBE | optimized geometry

Cell: 4.538 4.538 4.453 Å, 90.00 90.00 90.00°
Fractional positions:
1 V 0.000 0.000 0.000
2 Ni 0.000 0.500 0.000
3 Ni 0.500 0.000 0.000
4 P 0.000 0.000 0.500
5 Cl 0.500 0.500 0.500

Uncorrected formation energy = 1014 meV/atom